VASP calculation (GGA-PBE) on an optimized crystal structure of TcBr2.

```
data_TcBr2
_chemical_formula_sum 'Tc1 Br2'
_cell_length_a 7.304
_cell_length_b 7.304
_cell_length_c 7.304
_cell_angle_alpha 154.12
_cell_angle_beta 154.12
_cell_angle_gamma 36.92
_symmetry_space_group_name_H-M 'P 1'
_symmetry_Int_Tables_number 1
loop_
_symmetry_equiv_pos_as_xyz
'x,y,z'
loop_
_atom_site_label
_atom_site_type_symbol
_atom_site_fract_x
_atom_site_fract_y
_atom_site_fract_z
_atom_site_occupancy
Tc1 Tc 0.000 0.000 0.000 1
Br1 Br 0.384 0.384 0.000 1
Br2 Br 0.616 0.616 0.000 1
```

Results
* space-group type: I4/mmm, No. 139
* formation energy (no corrections): 0.4420 eV per atom
* Fermi-level density of states: 0.99 states/eV/atom
* energy relative to the lowest polymorph listed for this composition: 72.2 kJ/mol of atoms
* volume: 24.71 A^3/atom

VASP calculation (GGA-PBE) on an optimized crystal structure of NaZr2Sb.

```
data_NaZr2Sb
_chemical_formula_sum 'Na2 Zr4 Sb2'
_cell_length_a 8.198
_cell_length_b 8.198
_cell_length_c 6.510
_cell_angle_alpha 50.97
_cell_angle_beta 50.97
_cell_angle_gamma 90.00
_symmetry_space_group_name_H-M 'P 1'
_symmetry_Int_Tables_number 1
loop_
_symmetry_equiv_pos_as_xyz
'x,y,z'
loop_
_atom_site_label
_atom_site_type_symbol
_atom_site_fract_x
_atom_site_fract_y
_atom_site_fract_z
_atom_site_occupancy
Sb1 Sb 0.000 0.000 0.000 1
Sb2 Sb 0.750 0.250 0.500 1
Zr1 Zr 0.645 0.125 0.250 1
Zr2 Zr 0.105 0.625 0.250 1
Zr3 Zr 0.375 0.355 0.750 1
Zr4 Zr 0.875 0.895 0.750 1
Na1 Na 0.500 0.500 0.000 1
Na2 Na 0.250 0.750 0.500 1
```

Results
* space-group type: I-42d, No. 122
* formation energy (no corrections): 0.2555 eV per atom
* Fermi-level density of states: 0.96 states/eV/atom
* volume: 24.88 A^3/atom

VASP calculation (GGA-PBE) on an optimized crystal structure of Rb3ErU2Te6.

```
data_Rb3ErU2Te6
_chemical_formula_sum 'Rb3 Er1 U2 Te6'
_cell_length_a 7.842
_cell_length_b 7.842
_cell_length_c 8.987
_cell_angle_alpha 98.37
_cell_angle_beta 98.37
_cell_angle_gamma 120.00
_symmetry_space_group_name_H-M 'P 1'
_symmetry_Int_Tables_number 1
loop_
_symmetry_equiv_pos_as_xyz
'x,y,z'
loop_
_atom_site_label
_atom_site_type_symbol
_atom_site_fract_x
_atom_site_fract_y
_atom_site_fract_z
_atom_site_occupancy
Rb1 Rb 0.168 0.832 0.500 1
Rb2 Rb 0.832 0.168 0.500 1
Rb3 Rb 0.500 0.500 0.500 1
Er1 Er 0.000 0.000 0.000 1
U1 U 0.333 0.667 0.000 1
U2 U 0.667 0.333 0.000 1
Te1 Te 0.933 0.604 0.799 1
Te2 Te 0.738 0.738 0.201 1
Te3 Te 0.067 0.396 0.201 1
Te4 Te 0.604 0.933 0.799 1
Te5 Te 0.262 0.262 0.799 1
Te6 Te 0.396 0.067 0.201 1
```

Results
* space-group type: C2/m, No. 12
* formation energy (no corrections): -1.0012 eV per atom
* Fermi-level density of states: 1.16 states/eV/atom
* volume: 38.16 A^3/atom

VASP calculation (GGA-PBE) on an optimized crystal structure of La2ErZnTe5.

```
data_La2ErZnTe5
_chemical_formula_sum 'La4 Er2 Zn2 Te10'
_cell_length_a 4.356
_cell_length_b 9.906
_cell_length_c 13.277
_cell_angle_alpha 90.00
_cell_angle_beta 90.00
_cell_angle_gamma 102.70
_symmetry_space_group_name_H-M 'P 1'
_symmetry_Int_Tables_number 1
loop_
_symmetry_equiv_pos_as_xyz
'x,y,z'
loop_
_atom_site_label
_atom_site_type_symbol
_atom_site_fract_x
_atom_site_fract_y
_atom_site_fract_z
_atom_site_occupancy
La1 La 0.871 0.743 0.810 1
La2 La 0.115 0.230 0.684 1
La3 La 0.129 0.257 0.310 1
La4 La 0.885 0.770 0.184 1
Er1 Er 0.802 0.603 0.513 1
Er2 Er 0.198 0.397 0.013 1
Zn1 Zn 0.563 0.126 0.952 1
Zn2 Zn 0.437 0.874 0.452 1
Te1 Te 0.356 0.713 0.001 1
Te2 Te 0.689 0.379 0.850 1
Te3 Te 0.499 0.998 0.779 1
Te4 Te 0.288 0.576 0.672 1
Te5 Te 0.955 0.910 0.563 1
Te6 Te 0.644 0.287 0.501 1
Te7 Te 0.311 0.621 0.350 1
Te8 Te 0.501 0.002 0.279 1
Te9 Te 0.712 0.424 0.172 1
Te10 Te 0.045 0.090 0.063 1
```

Results
* space-group type: Cmc2_1, No. 36
* formation energy (no corrections): -1.2776 eV per atom
* Fermi-level density of states: 0.26 states/eV/atom
* volume: 31.05 A^3/atom

VASP calculation (GGA-PBE) on an optimized crystal structure of Rb2As2Pt.

```
data_Rb2As2Pt
_chemical_formula_sum 'Rb4 As4 Pt2'
_cell_length_a 8.109
_cell_length_b 8.109
_cell_length_c 6.407
_cell_angle_alpha 90.00
_cell_angle_beta 90.00
_cell_angle_gamma 130.55
_symmetry_space_group_name_H-M 'P 1'
_symmetry_Int_Tables_number 1
loop_
_symmetry_equiv_pos_as_xyz
'x,y,z'
loop_
_atom_site_label
_atom_site_type_symbol
_atom_site_fract_x
_atom_site_fract_y
_atom_site_fract_z
_atom_site_occupancy
Rb1 Rb 0.206 0.794 0.750 1
Rb2 Rb 0.582 0.418 0.750 1
Rb3 Rb 0.794 0.206 0.250 1
Rb4 Rb 0.418 0.582 0.250 1
As1 As 0.077 0.285 0.750 1
As2 As 0.285 0.077 0.250 1
As3 As 0.923 0.715 0.250 1
As4 As 0.715 0.923 0.750 1
Pt1 Pt 0.000 0.000 0.000 1
Pt2 Pt 0.000 0.000 0.500 1
```

Results
* space-group type: Cmcm, No. 63
* Fermi-level density of states: 0.01 states/eV/atom
* energy relative to the lowest polymorph listed for this composition: 0.0 kJ/mol of atoms
* volume: 32.01 A^3/atom

VASP calculation (GGA-PBE) on an optimized crystal structure of NaSm4Hg7.

```
data_NaSm4Hg7
_chemical_formula_sum 'Na1 Sm4 Hg7'
_cell_length_a 5.476
_cell_length_b 9.929
_cell_length_c 7.030
_cell_angle_alpha 81.08
_cell_angle_beta 67.08
_cell_angle_gamma 73.99
_symmetry_space_group_name_H-M 'P 1'
_symmetry_Int_Tables_number 1
loop_
_symmetry_equiv_pos_as_xyz
'x,y,z'
loop_
_atom_site_label
_atom_site_type_symbol
_atom_site_fract_x
_atom_site_fract_y
_atom_site_fract_z
_atom_site_occupancy
Na1 Na 0.000 0.000 0.000 1
Sm1 Sm 0.584 0.222 0.610 1
Sm2 Sm 0.416 0.778 0.390 1
Sm3 Sm 0.741 0.672 0.847 1
Sm4 Sm 0.259 0.328 0.153 1
Hg1 Hg 0.795 0.913 0.496 1
Hg2 Hg 0.205 0.087 0.504 1
Hg3 Hg 0.072 0.664 0.192 1
Hg4 Hg 0.928 0.336 0.808 1
Hg5 Hg 0.365 0.531 0.738 1
Hg6 Hg 0.500 0.000 0.000 1
Hg7 Hg 0.635 0.469 0.262 1
```

Results
* space-group type: C2/m, No. 12
* Fermi-level density of states: 0.73 states/eV/atom
* uncorrected energy: -2.167 eV/atom
* volume: 28.16 A^3/atom

Question: What is the formula in the fourth record?
Answer: La2ErZnTe5

What did the third record say?
VASP calculation (GGA-PBE) on an optimized crystal structure of Rb3ErU2Te6.

```
data_Rb3ErU2Te6
_chemical_formula_sum 'Rb3 Er1 U2 Te6'
_cell_length_a 7.842
_cell_length_b 7.842
_cell_length_c 8.987
_cell_angle_alpha 98.37
_cell_angle_beta 98.37
_cell_angle_gamma 120.00
_symmetry_space_group_name_H-M 'P 1'
_symmetry_Int_Tables_number 1
loop_
_symmetry_equiv_pos_as_xyz
'x,y,z'
loop_
_atom_site_label
_atom_site_type_symbol
_atom_site_fract_x
_atom_site_fract_y
_atom_site_fract_z
_atom_site_occupancy
Rb1 Rb 0.168 0.832 0.500 1
Rb2 Rb 0.832 0.168 0.500 1
Rb3 Rb 0.500 0.500 0.500 1
Er1 Er 0.000 0.000 0.000 1
U1 U 0.333 0.667 0.000 1
U2 U 0.667 0.333 0.000 1
Te1 Te 0.933 0.604 0.799 1
Te2 Te 0.738 0.738 0.201 1
Te3 Te 0.067 0.396 0.201 1
Te4 Te 0.604 0.933 0.799 1
Te5 Te 0.262 0.262 0.799 1
Te6 Te 0.396 0.067 0.201 1
```

Results
* space-group type: C2/m, No. 12
* formation energy (no corrections): -1.0012 eV per atom
* Fermi-level density of states: 1.16 states/eV/atom
* volume: 38.16 A^3/atom

Question: Look up the Fermi-level density of states of the second one.
Answer: 0.96 states/eV/atom

Question: Among the records above, which one has the highest volume?
Answer: Rb3ErU2Te6